The following is a PBE-GGA calculation of a relaxed TmCdO crystal, from the Alexandria database.

a b c (Å): 3.8530 3.8530 7.9361
angles (deg): 90.00 90.00 90.00
With the nearest neighbours (Å) after each atom.
Space group P4/nmm (No. 129, origin choice 2)
Asymmetric unit:
1 Tm 0.2500 0.2500 0.1333 (multiplicity 2)  4 O 2.20
2 Cd 0.2500 0.2500 0.5851 (multiplicity 2)  4 Cd 3.04
3 O 0.2500 0.7500 0.0000 (multiplicity 2)  4 Tm 2.20

Values from the calculation:
**Formation energy from raw total energies**: -2.1181 eV per atom
**E above lowest polymorph**: 0 meV per atom
**Density of states at the Fermi level**: 2.04 states/eV per cell

The following is a PBE-GGA calculation of a relaxed K3Rb2InCl6 crystal, from the Alexandria database.

a b c (Å): 20.0425 4.5934 9.1984
angles (deg): 90.00 103.50 90.00
With the nearest neighbours (Å) after each atom.
Space group C2/m (No. 12)
Asymmetric unit:
1 K 0.0000 0.0000 0.0000 (multiplicity 2)  6 Cl 3.19-3.23
2 K 0.1659 0.5000 0.3334 (multiplicity 4)  6 Cl 3.18-3.25
3 Rb 0.1659 0.5000 0.8302 (multiplicity 4)  6 Cl 3.29-3.32
4 In 0.0000 0.0000 0.5000 (multiplicity 2)  6 Cl 3.26-3.27
5 Cl 0.0028 0.5000 0.2489 (multiplicity 4)  3 K 3.18-3.23, 2 In 3.27, 1 Rb 3.29
6 Cl 0.1637 0.0000 0.0893 (multiplicity 4)  3 K 3.19-3.21, 3 Rb 3.32
7 Cl 0.1674 0.0000 0.5739 (multiplicity 4)  3 K 3.18-3.25, 1 In 3.26, 2 Rb 3.30

Values from the calculation:
**Formation energy from raw total energies**: -1.7583 eV per atom
**Density of states at the Fermi level**: 0.00 states/eV per cell

The following is a PBE-GGA calculation of a relaxed BaCaIn2I crystal, from the Alexandria database.

a b c (Å): 6.2454 6.2454 6.3489
angles (deg): 90.00 90.00 90.00
With the nearest neighbours (Å) after each atom.
Space group P4/mmm (No. 123)
Asymmetric unit:
1 Ba 0.0000 0.0000 0.0000 (multiplicity 1)  2 I 3.17
2 Ca 0.5000 0.5000 0.0000 (multiplicity 1)  4 Ba 4.42, 8 In 4.45
3 In 0.0000 0.5000 0.5000 (multiplicity 2)  2 I 3.12
4 I 0.0000 0.0000 0.5000 (multiplicity 1)  4 In 3.12, 2 Ba 3.17

Values from the calculation:
**Formation energy from raw total energies**: 0.0146 eV per atom
**Density of states at the Fermi level**: 3.21 states/eV per cell

The following is a PBE-GGA calculation of a relaxed Li3HOF2 crystal, from the Alexandria database.

a b c (Å): 2.5908 3.6670 11.4752
angles (deg): 90.00 90.00 90.00
With the nearest neighbours (Å) after each atom.
Space group Immm (No. 71)
Asymmetric unit:
1 Li 0.0000 0.0000 0.0000 (multiplicity 2)  2 O 1.83
2 Li 0.0000 0.5000 0.1717 (multiplicity 4)  1 F 1.89, 1 O 1.97
3 H 0.0000 0.0000 0.5000 (multiplicity 2)  2 O 1.30
4 O 0.0000 0.5000 0.0000 (multiplicity 2)  2 H 1.30
5 F 0.0000 0.5000 0.3366 (multiplicity 4)  1 Li 1.89

Values from the calculation:
**Total DFT energy (no corrections)**: -4.658 eV/atom
**Density of states at the Fermi level**: 0.00 states/eV per cell

The following is a PBE-GGA calculation of a relaxed In4Pb crystal, from the Alexandria database.

a b c (Å): 5.8283 5.8283 5.8283
angles (deg): 90.00 90.00 90.00
With the nearest neighbours (Å) after each atom.
Space group Pm-3m (No. 221)
Asymmetric unit:
1 In 0.0000 0.0000 0.0000 (multiplicity 1)  12 In 4.12
2 In 0.0000 0.5000 0.5000 (multiplicity 3)  2 Pb 2.91
3 Pb 0.5000 0.5000 0.5000 (multiplicity 1)  6 In 2.91

Values from the calculation:
**E above lowest polymorph**: 485 meV per atom
**Calculated formation energy**: 493 meV/atom
**Density of states at the Fermi level**: 3.42 states/eV per cell

The following is a PBE-GGA calculation of a relaxed Gd3BiB crystal, from the Alexandria database.

a b c (Å): 5.0988 5.0988 5.0988
angles (deg): 90.00 90.00 90.00
With the nearest neighbours (Å) after each atom.
Space group Pm-3m (No. 221)
Asymmetric unit:
1 Gd 0.0000 0.0000 0.5000 (multiplicity 3)  2 B 2.55
2 Bi 0.5000 0.5000 0.5000 (multiplicity 1)  12 Gd 3.61
3 B 0.0000 0.0000 0.0000 (multiplicity 1)  6 Gd 2.55

Values from the calculation:
**Calculated formation energy**: -462 meV/atom
**Density of states at the Fermi level**: 2.29 states/eV per cell

The following is a PBE-GGA calculation of a relaxed TbTh3Pb12 crystal, from the Alexandria database.

a b c (Å): 4.9515 4.9515 19.1925
angles (deg): 90.00 90.00 90.00
With the nearest neighbours (Å) after each atom.
Space group P4/mmm (No. 123)
Asymmetric unit:
1 Tb 0.0000 0.0000 0.0000 (multiplicity 1)  12 Pb 3.42-3.50
2 Th 0.0000 0.0000 0.2506 (multiplicity 2)  12 Pb 3.43-3.50
3 Th 0.0000 0.0000 0.5000 (multiplicity 1)  12 Pb 3.45-3.50
4 Pb 0.0000 0.5000 0.1227 (multiplicity 4)  2 Tb 3.42, 8 Pb 3.42-3.50, 2 Th 3.49
5 Pb 0.0000 0.5000 0.3744 (multiplicity 4)  4 Th 3.43-3.45, 8 Pb 3.45-3.50
6 Pb 0.5000 0.5000 0.0000 (multiplicity 1)  8 Pb 3.42, 4 Tb 3.50
7 Pb 0.5000 0.5000 0.2482 (multiplicity 2)  8 Pb 3.45-3.46, 4 Th 3.50
8 Pb 0.5000 0.5000 0.5000 (multiplicity 1)  8 Pb 3.45, 4 Th 3.50

Values from the calculation:
**Calculated formation energy**: -249 meV/atom
**Density of states at the Fermi level**: 8.61 states/eV per cell

The following is a PBE-GGA calculation of a relaxed Er8Ga3Co crystal, from the Alexandria database.

a b c (Å): 9.9218 9.9218 6.8706
angles (deg): 90.00 90.00 120.00
With the nearest neighbours (Å) after each atom.
Space group P6_3mc (No. 186)
Asymmetric unit:
1 Er 0.0000 0.0000 0.0000 (multiplicity 2)  6 Ga 3.21-3.38, 8 Er 3.35-3.53
2 Er 0.0726 0.5363 0.0256 (multiplicity 6)  1 Co 2.76
3 Er 0.1732 0.3464 0.7225 (multiplicity 6)  1 Co 2.79, 3 Ga 2.92-3.09
4 Er 0.3333 0.6667 0.4054 (multiplicity 2)  1 Co 2.65
5 Ga 0.1634 0.3268 0.2731 (multiplicity 6)  7 Er 2.92-3.21
6 Co 0.3333 0.6667 0.7913 (multiplicity 2)  7 Er 2.65-2.79

Values from the calculation:
**Calculated formation energy**: -421 meV/atom
**Density of states at the Fermi level**: 5.84 states/eV per cell

Repeat the eighth record exactly.
The following is a PBE-GGA calculation of a relaxed Er8Ga3Co crystal, from the Alexandria database.

a b c (Å): 9.9218 9.9218 6.8706
angles (deg): 90.00 90.00 120.00
With the nearest neighbours (Å) after each atom.
Space group P6_3mc (No. 186)
Asymmetric unit:
1 Er 0.0000 0.0000 0.0000 (multiplicity 2)  6 Ga 3.21-3.38, 8 Er 3.35-3.53
2 Er 0.0726 0.5363 0.0256 (multiplicity 6)  1 Co 2.76
3 Er 0.1732 0.3464 0.7225 (multiplicity 6)  1 Co 2.79, 3 Ga 2.92-3.09
4 Er 0.3333 0.6667 0.4054 (multiplicity 2)  1 Co 2.65
5 Ga 0.1634 0.3268 0.2731 (multiplicity 6)  7 Er 2.92-3.21
6 Co 0.3333 0.6667 0.7913 (multiplicity 2)  7 Er 2.65-2.79

Values from the calculation:
**Calculated formation energy**: -421 meV/atom
**Density of states at the Fermi level**: 5.84 states/eV per cell

Q: What is the density of states at the Fermi level in the fifth record?
A: 3.42 states/eV per cell

Q: Among the records above, which one has the highest density of states at the Fermi level?
A: TbTh3Pb12